Record 1
PBE NaNbTeI2, optimized geometry; symmetry = P4/mmm; crystal system = tetragonal; offset from the most stable computed form = 0 meV/atom
1.0
-5.4777 -0.0402 2.1669
0.0345 -5.8907 -0.0220
1.9931 -0.0071 5.0381
I Na Nb Te
2 1 1 1
Cartesian
0.0172 -2.9453 -0.0110
-2.7388 -0.0201 1.0834
-1.7251 -2.9690 3.5915
0.0000 0.0000 0.0000
0.9965 -0.0036 2.5191



Record 2
PBE NaNb2WI, optimized geometry; symmetry = P4/mmm; crystal system = tetragonal
1.0
-2.2594 -2.3405 -3.6223
2.1492 -5.3621 2.1241
-3.9634 -0.4851 2.7856
I Na Nb W
1 1 2 1
Cartesian
1.0746 -2.6810 1.0621
-2.0368 -4.0939 0.6437
-1.9817 -0.2426 1.3928
-1.1297 -1.1703 -1.8111
0.0000 0.0000 0.0000



Record 3
PBE NaYNb2I, optimized geometry; symmetry = P4/mmm; crystal system = tetragonal
1.0
5.1474 0.0000 0.0000
0.0000 5.2812 0.0000
0.0000 0.0000 5.1474
I Y Nb Na
1 1 2 1
Cartesian
0.0000 0.0000 0.0000
2.5737 2.6406 2.5737
0.0000 0.0000 2.5737
2.5737 0.0000 0.0000
0.0000 2.6406 0.0000



no.,total energy (hartree per atom),formation energy (no corrections) (kJ per mole of atoms)
1,-0.140,-28.1
2,-0.216,126.2
3,-0.178,102.7